VASP calculation (PBE) on a geometry-optimized As2OsW structure.

Cell and atoms, written as POSCAR:
```
As2OsW
1.0
0.000 3.107 3.107
3.107 0.000 3.107
3.107 3.107 0.000
As Os W
2 1 1
Cartesian
1.553 1.553 1.553 As
4.660 4.660 4.660 As
0.000 0.000 0.000 Os
3.107 3.107 3.107 W
```

Values from the calculation:
The formation energy comes out at 32 kJ per mole of atoms. As for the volume: 15.00 A^3/atom.